Arrangement 1

Below is an optimized crystal structure of Mn5C, with properties calculated at the PBE level.

Unit cell a=3.5657 b=9.5135 c=3.5732 alpha=90.00 beta=90.00 gamma=90.00
With the nearest neighbours (Å) after each atom.
Space group Cmmm (No. 65)
Symmetry-distinct sites (fractional):
Mn  0.0000  0.0000  0.0000  8 Mn 2.34-2.35, 4 C 2.52
Mn  0.0000  0.1591  0.5000  2 C 2.34, 10 Mn 2.34-2.52
Mn  0.0000  0.3387  0.0000  10 Mn 2.35-2.52, 2 C 2.35
C  0.0000  0.5000  0.5000  12 Mn 2.34-2.52

---

Arrangement 2

Below is an optimized crystal structure of Mn5C, with properties calculated at the PBE level.

Unit cell a=8.1816 b=2.5993 c=5.7602 alpha=90.00 beta=103.14 gamma=90.00
With the nearest neighbours (Å) after each atom.
Space group Cm (No. 8)
Symmetry-distinct sites (fractional):
Mn  0.0000  0.0000  0.0000  11 Mn 2.39-2.60
Mn  0.0674  0.0000  0.4269  2 C 1.98
Mn  0.1901  0.5000  0.8219  1 C 2.41, 12 Mn 2.43-2.61
Mn  0.3091  0.0000  0.1999  2 C 2.00
Mn  0.3885  0.0000  0.6449  2 C 1.96
C  0.2505  0.5000  0.4322  6 Mn 1.96-2.00

---

Which of them is most stable, and which least? Most stable: arrangement 2; least stable: arrangement 1.

---

Arrangement 1

Below is an optimized crystal structure of Mn4C3, with properties calculated at the PBE level.

Unit cell a=2.6310 b=2.6310 c=17.1305 alpha=90.00 beta=90.00 gamma=90.00
With the nearest neighbours (Å) after each atom.
Space group I4/mmm (No. 139)
Symmetry-distinct sites (fractional):
Mn  0.0000  0.0000  0.0653  5 C 2.17-2.36, 1 Mn 2.24
Mn  0.0000  0.0000  0.3262  5 C 1.93-2.11
C  0.0000  0.0000  0.2031  5 Mn 1.93-2.11
C  0.0000  0.0000  0.5000  8 Mn 2.17

---

Arrangement 2

Below is an optimized crystal structure of Mn4C3, with properties calculated at the PBE level.

Unit cell a=4.2674 b=4.2674 c=4.2674 alpha=90.00 beta=90.00 gamma=90.00
With the nearest neighbours (Å) after each atom.
Space group P-43m (No. 215)
Symmetry-distinct sites (fractional):
Mn  0.2416  0.2416  0.7584  3 C 1.87
C  0.0000  0.5000  0.5000  4 Mn 1.87

---

Arrangement 3

Below is an optimized crystal structure of Mn4C3, with properties calculated at the PBE level.

Unit cell a=4.0278 b=4.0278 c=4.0278 alpha=90.00 beta=90.00 gamma=90.00
With the nearest neighbours (Å) after each atom.
Space group Pm-3m (No. 221)
Symmetry-distinct sites (fractional):
Mn  0.0000  0.0000  0.0000  6 C 2.01
Mn  0.0000  0.5000  0.5000  4 C 2.01
C  0.0000  0.0000  0.5000  6 Mn 2.01

---

Arrangement 4

Below is an optimized crystal structure of Mn4C3, with properties calculated at the PBE level.

Unit cell a=4.1652 b=4.1652 c=4.0834 alpha=90.00 beta=90.00 gamma=120.00
With the nearest neighbours (Å) after each atom.
Space group P6/mmm (No. 191)
Symmetry-distinct sites (fractional):
Mn  0.0000  0.0000  0.2400  2 Mn 1.96-2.12
Mn  0.3333  0.6667  0.5000  6 C 2.37, 9 Mn 2.40-2.63
C  0.0000  0.5000  0.0000  4 C 2.08, 4 Mn 2.30

---

Which of them is most stable, and which least? Most stable: arrangement 3; least stable: arrangement 4.